No. 1
Material: ZnNiSb2
Method: DFT, meta-GGA SCAN
State: PBEsol geometry

The space group is F-43m (No. 216) and the conventional cell measures 6.7860, 6.7860 and 6.7860 Å, with angles of 90.00, 90.00 and 90.00 degrees. The inequivalent atoms are Zn at (0.0000, 0.0000, 0.0000), Ni at (0.2500, 0.2500, 0.7500), Sb at (0.0000, 0.0000, 0.5000) and Sb at (0.2500, 0.2500, 0.2500).

For the formation energy (no corrections), the calculation gives 0.557 eV/atom. As for the calculated total energy: -25.4953 eV/atom.

No. 2
Material: ZnNiSb2
Method: DFT, meta-GGA SCAN
State: PBEsol geometry

The space group is Amm2 (No. 38) and the conventional cell measures 4.4091, 4.8043 and 7.7087 Å, with angles of 90.00, 90.00 and 90.00 degrees. The inequivalent atoms are Zn at (0.0000, 0.0000, 0.0000), Ni at (0.5000, 0.0000, 0.8486), Sb at (0.0000, 0.0000, 0.6632) and Sb at (0.5000, 0.0000, 0.2104).

For the formation energy (no corrections), the calculation gives -0.026 eV/atom. As for the calculated total energy: -26.0781 eV/atom.

No. 3
Material: ZrNiSb
Method: DFT, meta-GGA SCAN
State: PBEsol geometry

The space group is P3m1 (No. 156) and the conventional cell measures 4.1308, 4.1308 and 3.6808 Å, with angles of 90.00, 90.00 and 120.00 degrees. The inequivalent atoms are Zr at (0.0000, 0.0000, 0.0000), Ni at (0.3333, 0.6667, 0.3779) and Sb at (0.6667, 0.3333, 0.5114).

For the formation energy (no corrections), the calculation gives -0.659 eV/atom. As for the calculated total energy: -28.7037 eV/atom.

No. 4
Material: ZrNi2Sb
Method: DFT, meta-GGA SCAN
State: PBEsol geometry

The space group is R3m (No. 160, hexagonal axes) and the conventional cell measures 4.0347, 4.0347 and 13.9812 Å, with angles of 90.00, 90.00 and 120.00 degrees. The inequivalent atoms are Zr at (0.0000, 0.0000, 0.0000), Ni at (0.0000, 0.0000, 0.4776), Ni at (0.0000, 0.0000, 0.7685) and Sb at (0.0000, 0.0000, 0.2065).

For the formation energy (no corrections), the calculation gives -0.323 eV/atom. As for the calculated total energy: -25.3999 eV/atom.

> The lowest formation energy (no corrections) belongs to which entry?

ZrNiSb

What did the third record say?
Material: ZrNiSb
Method: DFT, meta-GGA SCAN
State: PBEsol geometry

The space group is P3m1 (No. 156) and the conventional cell measures 4.1308, 4.1308 and 3.6808 Å, with angles of 90.00, 90.00 and 120.00 degrees. The inequivalent atoms are Zr at (0.0000, 0.0000, 0.0000), Ni at (0.3333, 0.6667, 0.3779) and Sb at (0.6667, 0.3333, 0.5114).

For the formation energy (no corrections), the calculation gives -0.659 eV/atom. As for the calculated total energy: -28.7037 eV/atom.

Copy entry 3 word for word.
Material: ZrNiSb
Method: DFT, meta-GGA SCAN
State: PBEsol geometry

The space group is P3m1 (No. 156) and the conventional cell measures 4.1308, 4.1308 and 3.6808 Å, with angles of 90.00, 90.00 and 120.00 degrees. The inequivalent atoms are Zr at (0.0000, 0.0000, 0.0000), Ni at (0.3333, 0.6667, 0.3779) and Sb at (0.6667, 0.3333, 0.5114).

For the formation energy (no corrections), the calculation gives -0.659 eV/atom. As for the calculated total energy: -28.7037 eV/atom.